# Ti5GaCo

Crystalline Ti5GaCo at its relaxed geometry (PBE, Alexandria).

POSCAR file:
```
Ti5GaCo
1.0
-3.113 -0.134 -3.744
-0.230 -4.865 0.121
-8.409 -1.267 4.722
Ti Ga Co
10 2 2
Cartesian
-4.046 -2.976 -2.774
-5.559 -3.207 1.909
-7.200 -5.334 0.996
-5.178 -0.512 -2.514
-9.573 -5.043 2.656
-2.179 -1.223 -1.557
-6.574 -5.754 3.613
-4.552 -0.932 0.104
-6.192 -3.059 -0.809
-7.705 -3.290 3.874
-3.438 -3.367 -0.181
-8.314 -2.899 1.280
0.000 0.000 0.000
-4.204 -0.634 2.361
```

Summary:
Its crystal system is monoclinic. The calculation puts the density at 5.478 g/cm³. For the energy, the calculation gives -101.017 eV for the cell shown. The density of states at the Fermi level is 0.988 states/eV/atom. The space-group type is C2/c (15).

---

# CoSbP2

Crystalline CoSbP2 at its relaxed geometry (PBE, Alexandria).

POSCAR file:
```
CoSbP2
1.0
3.086 0.010 0.000
-0.011 3.086 0.000
0.000 0.000 7.096
Co P Sb
1 2 1
Cartesian
1.538 1.548 5.756
0.000 0.000 6.972
1.538 1.548 0.963
0.000 0.000 4.049
```

Summary:
Its crystal system is tetragonal. The calculation puts the density at 5.961 g/cm³. For the energy, the calculation gives -21.445 eV for the cell shown. The density of states at the Fermi level is 0.428 states/eV/atom. The space-group type is P4mm (99).